(1)
Density functional theory data (GGA+U) for a relaxed RbVN2F crystal.

```
data_RbVN2F
_cell_length_a 3.889
_cell_length_b 3.889
_cell_length_c 4.602
_cell_angle_alpha 90.00
_cell_angle_beta 90.00
_cell_angle_gamma 90.00
_space_group_name_H-M_alt 'P 4/m m m'
_space_group_IT_number 123
_space_group_name_Hall '-P 4 2'
loop_
_atom_site_label
_atom_site_fract_x
_atom_site_fract_y
_atom_site_fract_z
_atom_site_occupancy
Rb1 0.000 0.000 0.000 1
V1 0.500 0.500 0.500 1
N1 0.000 0.500 0.500 1
F1 0.500 0.500 0.000 1
```

Summary:
ΔE to the lowest computed polymorph: 0.000 eV/atom

=====

(2)
Density functional theory data (GGA+U) for a relaxed RbVN2F crystal.

```
data_RbVN2F
_cell_length_a 4.452
_cell_length_b 4.452
_cell_length_c 4.672
_cell_angle_alpha 90.00
_cell_angle_beta 90.00
_cell_angle_gamma 90.00
_space_group_name_H-M_alt 'P 4/m m m'
_space_group_IT_number 123
_space_group_name_Hall '-P 4 2'
loop_
_atom_site_label
_atom_site_fract_x
_atom_site_fract_y
_atom_site_fract_z
_atom_site_occupancy
Rb1 0.000 0.000 0.000 1
V1 0.500 0.500 0.500 1
N1 0.000 0.500 0.000 1
F1 0.000 0.000 0.500 1
```

Summary:
ΔE to the lowest computed polymorph: 2.557 eV/atom

=====

(3)
Density functional theory data (GGA+U) for a relaxed RbWNF2 crystal.

```
data_RbWNF2
_cell_length_a 4.823
_cell_length_b 4.823
_cell_length_c 4.571
_cell_angle_alpha 90.00
_cell_angle_beta 90.00
_cell_angle_gamma 90.00
_space_group_name_H-M_alt 'P 4/m m m'
_space_group_IT_number 123
_space_group_name_Hall '-P 4 2'
loop_
_atom_site_label
_atom_site_fract_x
_atom_site_fract_y
_atom_site_fract_z
_atom_site_occupancy
Rb1 0.000 0.000 0.000 1
W1 0.500 0.500 0.500 1
N1 0.000 0.000 0.500 1
F1 0.000 0.500 0.000 1
```

Summary:
ΔE to the lowest computed polymorph: 2.228 eV/atom

=====

(4)
Density functional theory data (GGA+U) for a relaxed RbWNF2 crystal.

```
data_RbWNF2
_cell_length_a 4.428
_cell_length_b 4.428
_cell_length_c 4.042
_cell_angle_alpha 90.00
_cell_angle_beta 90.00
_cell_angle_gamma 90.00
_space_group_name_H-M_alt 'P 4/m m m'
_space_group_IT_number 123
_space_group_name_Hall '-P 4 2'
loop_
_atom_site_label
_atom_site_fract_x
_atom_site_fract_y
_atom_site_fract_z
_atom_site_occupancy
Rb1 0.000 0.000 0.000 1
W1 0.500 0.500 0.500 1
N1 0.500 0.500 0.000 1
F1 0.000 0.500 0.500 1
```

Summary:
ΔE to the lowest computed polymorph: 0.000 eV/atom